Below is crystalline TlFePO2 at its relaxed geometry, with properties calculated at the PBE+U level.

Cell: 4.1228 4.1228 5.4233 Å, 90.00 90.00 90.00°
Space group P4/mmm (No. 123)
Symmetry-distinct sites (fractional):
Tl (0.0000, 0.0000, 0.0000) x1
Fe (0.5000, 0.5000, 0.5000) x1
P (0.0000, 0.0000, 0.5000) x1
O (0.0000, 0.5000, 0.0000) x2

Summary:
Fermi-level density of states = 3.92 states/eV per cell
Energy = -4.02 eV per atom